Here is a relaxed structure of Tm2Zn3Ge from the Alexandria database. Energies are from PBE.

Energy relative to the lowest polymorph listed for this composition in eV per atom: 0.0000
Raw total energy in eV/atom: -3.402
Crystal system: orthorhombic
N(E_F) in states/eV/cell: 6.8
Space group: Fmmm, No. 69
DFT formation energy in kJ/mol of formula units: -292

POSCAR file:
```
Tm2Zn3Ge
1.0
5.435 0.313 -1.335
-1.848 5.121 -1.335
-0.211 -0.320 8.338
Tm Zn Ge
4 6 2
Direct
0.250 0.750 0.500
0.753 0.753 0.000
0.750 0.250 0.500
0.247 0.247 0.000
0.669 0.167 0.836
0.833 0.331 0.164
0.331 0.833 0.164
0.167 0.669 0.836
0.835 0.835 0.670
0.165 0.165 0.330
0.333 0.333 0.667
0.667 0.667 0.333
```